Record 1
## PrSm5DyY2 (PBE)

Data for a geometry-optimized PrSm5DyY2 structure.

Cell lengths 5.7107, 10.5160, 10.6349 Å; angles 90.00, 90.00, 105.75 degrees
With the nearest neighbours (Å) after each atom.
Fractional positions:
Sm (0.2974, 0.5949, 0.7069)  4 Sm 3.46-3.84, 3 Dy 3.53-3.78, 3 Y 3.57-3.75, 1 Pr 3.59
Sm (0.5209, 0.0419, 0.2401)  2 Pr 3.13-3.32
Y (0.1157, 0.2315, 0.3210)  9 Sm 3.35-3.73, 1 Dy 3.72
Dy (0.2006, 0.4013, 0.0112)  2 Y 3.45-3.72, 8 Sm 3.53-3.81, 2 Pr 3.73
Sm (0.7190, 0.4379, 0.8126)  1 Pr 3.08, 1 Y 3.35
Sm (0.6112, 0.2224, 0.5235)  6 Sm 3.52-3.87, 4 Y 3.58-3.62, 1 Dy 3.81
Sm (0.2810, 0.5621, 0.3126)  1 Pr 3.08, 1 Y 3.35
Sm (0.0181, 0.0363, 0.0230)  2 Pr 3.25, 3 Y 3.46-3.63
Dy (0.7994, 0.5987, 0.5112)  2 Y 3.45-3.72, 8 Sm 3.53-3.81, 2 Pr 3.73
Sm (0.9819, 0.9637, 0.5230)  2 Pr 3.25, 3 Y 3.46-3.63
Y (0.8872, 0.7744, 0.2328)  1 Dy 3.45, 7 Sm 3.46-3.75, 2 Pr 3.73
Pr (0.4141, 0.8281, 0.4531)  5 Sm 3.08-3.32
Y (0.1128, 0.2256, 0.7328)  1 Dy 3.45, 7 Sm 3.46-3.75, 2 Pr 3.73
Y (0.8843, 0.7685, 0.8210)  9 Sm 3.35-3.73, 1 Dy 3.72
Sm (0.4791, 0.9581, 0.7401)  2 Pr 3.13-3.32
Sm (0.7026, 0.4051, 0.2069)  4 Sm 3.46-3.84, 3 Dy 3.53-3.78, 3 Y 3.57-3.75, 1 Pr 3.59
Pr (0.5859, 0.1719, 0.9531)  5 Sm 3.08-3.32
Sm (0.3888, 0.7776, 0.0235)  6 Sm 3.52-3.87, 4 Y 3.58-3.62, 1 Dy 3.81

Properties
DFT total energy ... -4.952 eV per atom
Density of states at the Fermi level ... 14.7 states/eV/f.u.
Space-group type ... Cmc2_1 (36)
Energy of formation from the pure elements ... 129 kJ/mol of formula units
Total magnetization ... 0.00 μB/atom
V ... 34.1 Å³/atom

---

Record 2
## Pr2Sm2DyY (PBE)

Data for a geometry-optimized Pr2Sm2DyY structure.

Cell lengths 5.7303, 7.1200, 9.9360 Å; angles 90.00, 90.00, 90.00 degrees
With the nearest neighbours (Å) after each atom.
Fractional positions:
Y (0.0000, 0.0075, 0.4999)  2 Y 3.56, 2 Pr 3.68, 4 Dy 3.73, 6 Sm 3.76-3.79
Sm (0.5000, 0.7575, 0.6684)  2 Pr 3.26, 3 Dy 3.26-3.56
Dy (0.5000, 0.2575, 0.6594)  5 Sm 3.26-3.56
Y (0.0000, 0.5075, 0.5001)  2 Y 3.56, 2 Pr 3.68, 4 Dy 3.73, 6 Sm 3.76-3.79
Sm (0.0000, 0.7577, 0.1636)  2 Dy 3.36, 7 Pr 3.37-3.74
Pr (0.5000, 0.5077, 0.0002)  6 Pr 3.56-3.80, 6 Sm 3.74-3.75, 2 Dy 3.82-3.83
Pr (0.0000, 0.2577, 0.1758)  5 Sm 3.26-3.56
Pr (0.0000, 0.7577, 0.8242)  5 Sm 3.26-3.56
Sm (0.0000, 0.2577, 0.8364)  2 Dy 3.36, 7 Pr 3.37-3.74
Sm (0.5000, 0.2575, 0.3316)  2 Pr 3.26, 3 Dy 3.26-3.56
Pr (0.5000, 0.0077, 0.9998)  6 Pr 3.56-3.80, 6 Sm 3.74-3.75, 2 Dy 3.82-3.83
Dy (0.5000, 0.7575, 0.3406)  5 Sm 3.26-3.56

Properties
DFT total energy ... -4.956 eV per atom
Density of states at the Fermi level ... 9.1 states/eV/f.u.
Space-group type ... Pmma (51)
Energy of formation from the pure elements ... 32 kJ/mol of formula units
Total magnetization ... 0.00 μB/atom
V ... 33.8 Å³/atom

---

Record 3
## PrSm2Dy6Y (PBE)

Data for a geometry-optimized PrSm2Dy6Y structure.

Cell lengths 9.6873, 8.8262, 8.8262 Å; angles 118.19, 94.17, 94.17 degrees
With the nearest neighbours (Å) after each atom.
Fractional positions:
Dy (0.6839, 0.0210, 0.5697)  2 Dy 3.23-3.58, 1 Sm 3.42, 1 Y 3.49
Dy (0.3161, 0.9790, 0.4303)  2 Dy 3.23-3.58, 1 Sm 3.42, 1 Y 3.49
Sm (0.9564, 0.6997, 0.8037)  6 Dy 3.28-3.64, 2 Pr 3.40, 1 Y 3.56
Dy (0.5569, 0.7439, 0.1231)  7 Dy 3.41-3.76, 1 Sm 3.55, 1 Pr 3.70, 1 Y 3.81
Pr (0.7500, 0.0211, 0.9789)  4 Sm 3.40, 4 Dy 3.62-3.70
Dy (0.1199, 0.7069, 0.4928)  4 Dy 3.23-3.52, 3 Sm 3.28-3.46, 2 Y 3.44-3.58
Dy (0.3801, 0.5072, 0.2931)  4 Dy 3.23-3.52, 3 Sm 3.28-3.46, 2 Y 3.44-3.58
Sm (0.0436, 0.3003, 0.1963)  6 Dy 3.28-3.64, 2 Pr 3.40, 1 Y 3.56
Dy (0.9431, 0.8769, 0.2561)  7 Dy 3.41-3.76, 1 Sm 3.55, 1 Pr 3.70, 1 Y 3.81
Dy (0.8801, 0.2931, 0.5072)  4 Dy 3.23-3.52, 3 Sm 3.28-3.46, 2 Y 3.44-3.58
Dy (0.1839, 0.5697, 0.0210)  2 Dy 3.23-3.58, 1 Sm 3.42, 1 Y 3.49
Sm (0.4564, 0.8037, 0.6997)  6 Dy 3.28-3.64, 2 Pr 3.40, 1 Y 3.56
Dy (0.4431, 0.2561, 0.8769)  7 Dy 3.41-3.76, 1 Sm 3.55, 1 Pr 3.70, 1 Y 3.81
Pr (0.2500, 0.9789, 0.0211)  4 Sm 3.40, 4 Dy 3.62-3.70
Y (0.2500, 0.4080, 0.5920)  8 Dy 3.44-3.81, 2 Sm 3.56
Y (0.7500, 0.5920, 0.4080)  8 Dy 3.44-3.81, 2 Sm 3.56
Sm (0.5436, 0.1963, 0.3003)  6 Dy 3.28-3.64, 2 Pr 3.40, 1 Y 3.56
Dy (0.8161, 0.4303, 0.9790)  2 Dy 3.23-3.58, 1 Sm 3.42, 1 Y 3.49
Dy (0.6199, 0.4928, 0.7069)  4 Dy 3.23-3.52, 3 Sm 3.28-3.46, 2 Y 3.44-3.58
Dy (0.0569, 0.1231, 0.7439)  7 Dy 3.41-3.76, 1 Sm 3.55, 1 Pr 3.70, 1 Y 3.81

Properties
DFT total energy ... -4.715 eV per atom
Density of states at the Fermi level ... 14.3 states/eV/f.u.
Space-group type ... C2/c (15)
Energy of formation from the pure elements ... 111 kJ/mol of formula units
Total magnetization ... 0.00 μB/atom
V ... 32.9 Å³/atom

---

Record 4
## PrSmDy2Y2 (PBE)

Data for a geometry-optimized PrSmDy2Y2 structure.

Cell lengths 3.4215, 6.6000, 17.9473 Å; angles 90.00, 90.00, 90.00 degrees
With the nearest neighbours (Å) after each atom.
Fractional positions:
Y (0.5000, 0.2764, 0.3141)  4 Dy 3.35-3.43, 2 Y 3.42, 1 Pr 3.65
Sm (0.5000, 0.5000, 0.0000)  2 Sm 3.42, 4 Dy 3.49, 4 Pr 3.72
Pr (0.5000, 0.5000, 0.5000)  2 Dy 3.24, 2 Pr 3.42
Sm (0.0000, 0.0000, 0.5000)  2 Sm 3.42, 4 Dy 3.49, 4 Pr 3.72
Dy (0.0000, 0.7216, 0.8516)  1 Pr 3.24, 4 Y 3.35-3.43, 2 Dy 3.42, 2 Sm 3.49
Y (0.5000, 0.7236, 0.6859)  4 Dy 3.35-3.43, 2 Y 3.42, 1 Pr 3.65
Pr (0.0000, 0.0000, 0.0000)  2 Dy 3.24, 2 Pr 3.42
Dy (0.5000, 0.2216, 0.6484)  1 Pr 3.24, 4 Y 3.35-3.43, 2 Dy 3.42, 2 Sm 3.49
Y (0.0000, 0.2236, 0.8141)  4 Dy 3.35-3.43, 2 Y 3.42, 1 Pr 3.65
Y (0.0000, 0.7764, 0.1859)  4 Dy 3.35-3.43, 2 Y 3.42, 1 Pr 3.65
Dy (0.0000, 0.2784, 0.1484)  1 Pr 3.24, 4 Y 3.35-3.43, 2 Dy 3.42, 2 Sm 3.49
Dy (0.5000, 0.7784, 0.3516)  1 Pr 3.24, 4 Y 3.35-3.43, 2 Dy 3.42, 2 Sm 3.49

Properties
DFT total energy ... -5.006 eV per atom
Density of states at the Fermi level ... 9.9 states/eV/f.u.
Space-group type ... Pnnm (58)
Energy of formation from the pure elements ... 154 kJ/mol of formula units
Total magnetization ... 0.00 μB/atom
V ... 33.8 Å³/atom

---

Record 5
## PrSm6Dy2Y3 (PBE)

Data for a geometry-optimized PrSm6Dy2Y3 structure.

Cell lengths 6.2517, 6.2517, 11.9320 Å; angles 95.00, 95.00, 119.98 degrees
With the nearest neighbours (Å) after each atom.
Fractional positions:
Sm (0.5813, 0.9156, 0.7491)  3 Y 3.59-3.60, 6 Sm 3.60-3.62, 2 Dy 3.60-3.61, 1 Pr 3.62
Pr (0.0000, 0.0000, 0.0000)  6 Dy 3.61, 6 Sm 3.61-3.62
Sm (0.9156, 0.5813, 0.7491)  3 Y 3.59-3.60, 6 Sm 3.60-3.62, 2 Dy 3.60-3.61, 1 Pr 3.62
Y (0.1670, 0.8330, 0.5000)  6 Sm 3.59-3.60, 6 Y 3.61-3.62
Sm (0.4187, 0.0844, 0.2509)  3 Y 3.59-3.60, 6 Sm 3.60-3.62, 2 Dy 3.60-3.61, 1 Pr 3.62
Y (0.8330, 0.1670, 0.5000)  6 Sm 3.59-3.60, 6 Y 3.61-3.62
Sm (0.2499, 0.2499, 0.7491)  3 Y 3.59-3.60, 6 Sm 3.60-3.62, 2 Dy 3.61, 1 Pr 3.61
Sm (0.0844, 0.4187, 0.2509)  3 Y 3.59-3.60, 6 Sm 3.60-3.62, 2 Dy 3.60-3.61, 1 Pr 3.62
Dy (0.3334, 0.6666, 0.0000)  6 Sm 3.60-3.61, 3 Dy 3.61, 3 Pr 3.61
Y (0.5000, 0.5000, 0.5000)  6 Sm 3.59, 6 Y 3.61
Sm (0.7501, 0.7501, 0.2509)  3 Y 3.59-3.60, 6 Sm 3.60-3.62, 2 Dy 3.61, 1 Pr 3.61
Dy (0.6666, 0.3334, 0.0000)  6 Sm 3.60-3.61, 3 Dy 3.61, 3 Pr 3.61

Properties
DFT total energy ... -5.127 eV per atom
Density of states at the Fermi level ... 15.7 states/eV/f.u.
Space-group type ... C2/m (12)
Energy of formation from the pure elements ... 17 kJ/mol of formula units
Total magnetization ... 0.00 μB/atom
V ... 33.1 Å³/atom

---

Record 6
## Pr2SmDyY2 (PBE)

Data for a geometry-optimized Pr2SmDyY2 structure.

Cell lengths 3.4149, 6.6864, 18.1961 Å; angles 90.00, 90.00, 90.00 degrees
With the nearest neighbours (Å) after each atom.
Fractional positions:
Sm (0.0000, 0.0000, 0.5000)  2 Sm 3.41, 4 Y 3.51, 4 Dy 3.75
Pr (0.0000, 0.7700, 0.1839)  4 Y 3.39-3.53, 2 Pr 3.41, 1 Dy 3.68
Sm (0.5000, 0.5000, 0.0000)  2 Sm 3.41, 4 Y 3.51, 4 Dy 3.75
Pr (0.5000, 0.7300, 0.6839)  4 Y 3.39-3.53, 2 Pr 3.41, 1 Dy 3.68
Y (0.5000, 0.2273, 0.6465)  1 Dy 3.23, 4 Pr 3.39-3.53, 2 Y 3.41, 2 Sm 3.51
Y (0.5000, 0.7727, 0.3535)  1 Dy 3.23, 4 Pr 3.39-3.53, 2 Y 3.41, 2 Sm 3.51
Y (0.0000, 0.2727, 0.1465)  1 Dy 3.23, 4 Pr 3.39-3.53, 2 Y 3.41, 2 Sm 3.51
Pr (0.0000, 0.2300, 0.8161)  4 Y 3.39-3.53, 2 Pr 3.41, 1 Dy 3.68
Pr (0.5000, 0.2700, 0.3161)  4 Y 3.39-3.53, 2 Pr 3.41, 1 Dy 3.68
Dy (0.5000, 0.5000, 0.5000)  2 Y 3.23, 2 Dy 3.41
Dy (0.0000, 0.0000, 0.0000)  2 Y 3.23, 2 Dy 3.41
Y (0.0000, 0.7273, 0.8535)  1 Dy 3.23, 4 Pr 3.39-3.53, 2 Y 3.41, 2 Sm 3.51

Properties
DFT total energy ... -5.032 eV per atom
Density of states at the Fermi level ... 10.5 states/eV/f.u.
Space-group type ... Pnnm (58)
Energy of formation from the pure elements ... 156 kJ/mol of formula units
Total magnetization ... 0.00 μB/atom
V ... 34.6 Å³/atom

---

Record 7
## PrSm3Dy2Y6 (PBE)

Data for a geometry-optimized PrSm3Dy2Y6 structure.

Cell lengths 6.2250, 6.2250, 11.8722 Å; angles 94.99, 94.99, 119.97 degrees
With the nearest neighbours (Å) after each atom.
Fractional positions:
Dy (0.6667, 0.3333, 0.0000)  6 Y 3.58, 3 Pr 3.59-3.60, 3 Dy 3.59
Dy (0.3333, 0.6667, 0.0000)  6 Y 3.58, 3 Pr 3.59-3.60, 3 Dy 3.59
Pr (0.0000, 0.0000, 0.0000)  6 Y 3.58, 6 Dy 3.59-3.60
Y (0.5825, 0.9165, 0.7504)  2 Dy 3.58, 1 Pr 3.58, 3 Sm 3.59, 6 Y 3.59-3.60
Y (0.2507, 0.2507, 0.7505)  2 Dy 3.58, 1 Pr 3.58, 3 Sm 3.59, 6 Y 3.59-3.60
Y (0.0835, 0.4175, 0.2496)  2 Dy 3.58, 1 Pr 3.58, 3 Sm 3.59, 6 Y 3.59-3.60
Sm (0.8331, 0.1669, 0.5000)  6 Y 3.59, 6 Sm 3.59-3.60
Y (0.7493, 0.7493, 0.2495)  2 Dy 3.58, 1 Pr 3.58, 3 Sm 3.59, 6 Y 3.59-3.60
Sm (0.5000, 0.5000, 0.5000)  6 Y 3.59, 6 Sm 3.59-3.60
Y (0.9165, 0.5825, 0.7504)  2 Dy 3.58, 1 Pr 3.58, 3 Sm 3.59, 6 Y 3.59-3.60
Sm (0.1669, 0.8331, 0.5000)  6 Y 3.59, 6 Sm 3.59-3.60
Y (0.4175, 0.0835, 0.2496)  2 Dy 3.58, 1 Pr 3.58, 3 Sm 3.59, 6 Y 3.59-3.60

Properties
DFT total energy ... -5.562 eV per atom
Density of states at the Fermi level ... 15.9 states/eV/f.u.
Space-group type ... C2/m (12)
Energy of formation from the pure elements ... 18 kJ/mol of formula units
Total magnetization ... 0.00 μB/atom
V ... 32.7 Å³/atom

---

Record 8
## PrSm6Dy2Y (PBE)

Data for a geometry-optimized PrSm6Dy2Y structure.

Cell lengths 9.7441, 8.9226, 8.9226 Å; angles 118.06, 94.12, 94.12 degrees
With the nearest neighbours (Å) after each atom.
Fractional positions:
Dy (0.5439, 0.1937, 0.2964)  6 Sm 3.31-3.67, 2 Y 3.41-3.43, 1 Pr 3.62
Pr (0.2500, 0.4061, 0.5939)  6 Sm 3.48-3.61, 2 Dy 3.62
Pr (0.7500, 0.5939, 0.4061)  6 Sm 3.48-3.61, 2 Dy 3.62
Dy (0.4561, 0.8063, 0.7036)  6 Sm 3.31-3.67, 2 Y 3.41-3.43, 1 Pr 3.62
Sm (0.1213, 0.7079, 0.4970)  3 Sm 3.26-3.43, 3 Dy 3.31-3.47, 2 Pr 3.48-3.61
Dy (0.9561, 0.7036, 0.8063)  6 Sm 3.31-3.67, 2 Y 3.41-3.43, 1 Pr 3.62
Sm (0.9451, 0.8820, 0.2450)  7 Sm 3.43-3.82, 1 Dy 3.48, 1 Y 3.70
Y (0.2500, 0.9744, 0.0256)  4 Dy 3.41-3.43, 4 Sm 3.61-3.70
Sm (0.6832, 0.0230, 0.5701)  2 Sm 3.26-3.63, 1 Dy 3.46, 1 Pr 3.53, 1 Y 3.61
Dy (0.0439, 0.2964, 0.1937)  6 Sm 3.31-3.67, 2 Y 3.41-3.43, 1 Pr 3.62
Sm (0.8168, 0.4299, 0.9770)  2 Sm 3.26-3.63, 1 Dy 3.46, 1 Pr 3.53, 1 Y 3.61
Sm (0.0549, 0.1180, 0.7550)  7 Sm 3.43-3.82, 1 Dy 3.48, 1 Y 3.70
Sm (0.8787, 0.2921, 0.5030)  3 Sm 3.26-3.43, 3 Dy 3.31-3.47, 2 Pr 3.48-3.61
Y (0.7500, 0.0256, 0.9744)  4 Dy 3.41-3.43, 4 Sm 3.61-3.70
Sm (0.3168, 0.9770, 0.4299)  2 Sm 3.26-3.63, 1 Dy 3.46, 1 Pr 3.53, 1 Y 3.61
Sm (0.5549, 0.7550, 0.1180)  7 Sm 3.43-3.82, 1 Dy 3.48, 1 Y 3.70
Sm (0.1832, 0.5701, 0.0230)  2 Sm 3.26-3.63, 1 Dy 3.46, 1 Pr 3.53, 1 Y 3.61
Sm (0.3787, 0.5030, 0.2921)  3 Sm 3.26-3.43, 3 Dy 3.31-3.47, 2 Pr 3.48-3.61
Sm (0.4451, 0.2450, 0.8820)  7 Sm 3.43-3.82, 1 Dy 3.48, 1 Y 3.70
Sm (0.6213, 0.4970, 0.7079)  3 Sm 3.26-3.43, 3 Dy 3.31-3.47, 2 Pr 3.48-3.61

Properties
DFT total energy ... -4.759 eV per atom
Density of states at the Fermi level ... 15.0 states/eV/f.u.
Space-group type ... C2/c (15)
Energy of formation from the pure elements ... 114 kJ/mol of formula units
Total magnetization ... 0.00 μB/atom
V ... 33.9 Å³/atom

---

Record 9
## Pr2Sm2Dy4Y (PBE)

Data for a geometry-optimized Pr2Sm2Dy4Y structure.

Cell lengths 3.6374, 9.6098, 9.6685 Å; angles 115.24, 90.00, 100.91 degrees
With the nearest neighbours (Å) after each atom.
Fractional positions:
Dy (0.8148, 0.6297, 0.6638)  3 Sm 3.53-3.65, 6 Dy 3.55-3.64, 1 Y 3.59, 2 Pr 3.60
Sm (0.8530, 0.7060, 0.3374)  7 Dy 3.53-3.65, 3 Pr 3.62, 2 Sm 3.64
Pr (0.6654, 0.3309, 0.0004)  3 Dy 3.58-3.60, 2 Y 3.61, 3 Sm 3.62, 4 Pr 3.64-3.68
Sm (0.1470, 0.2940, 0.6626)  7 Dy 3.53-3.65, 3 Pr 3.62, 2 Sm 3.64
Dy (0.5195, 0.0391, 0.3339)  4 Sm 3.54-3.64, 2 Y 3.58, 1 Pr 3.58, 5 Dy 3.59-3.64
Dy (0.1852, 0.3703, 0.3362)  3 Sm 3.53-3.65, 6 Dy 3.55-3.64, 1 Y 3.59, 2 Pr 3.60
Pr (0.3346, 0.6691, 0.9996)  3 Dy 3.58-3.60, 2 Y 3.61, 3 Sm 3.62, 4 Pr 3.64-3.68
Dy (0.4805, 0.9609, 0.6661)  4 Sm 3.54-3.64, 2 Y 3.58, 1 Pr 3.58, 5 Dy 3.59-3.64
Y (0.0000, 0.0000, 0.0000)  6 Dy 3.58-3.59, 4 Pr 3.61, 2 Y 3.64

Properties
DFT total energy ... -4.871 eV per atom
Density of states at the Fermi level ... 12.4 states/eV/f.u.
Space-group type ... C2/m (12)
Energy of formation from the pure elements ... 3 kJ/mol of formula units
Total magnetization ... 0.00 μB/atom
V ... 33.2 Å³/atom